#a
Bi3BTe after structural relaxation. Source: Alexandria via LeMat-Bulk, functional PBE.

a b c (Å): 5.138 5.138 5.138
angles (deg): 90.00 90.00 90.00
Fractional positions:
Bi: 0.000 0.000 0.500
Bi: 0.000 0.500 0.000
Bi: 0.500 0.000 0.000
B: 0.000 0.000 0.000
Te: 0.500 0.500 0.500

## Properties
Space group: Pm-3m
ρ: 9372 kg/m³
V: 136 Å³ per cell



#b
Bi3BTe after structural relaxation. Source: Alexandria via LeMat-Bulk, functional PBE.

a b c (Å): 5.895 5.895 5.895
angles (deg): 90.00 90.00 90.00
Fractional positions:
Bi: 0.000 0.000 0.500
Bi: 0.000 0.500 0.000
Bi: 0.500 0.000 0.000
B: 0.500 0.500 0.500
Te: 0.000 0.000 0.000

## Properties
Space group: Pm-3m
ρ: 6205 kg/m³
V: 205 Å³ per cell



Which of them is the least stable? Correct choice: #b.



#a
BiBTe2 after structural relaxation. Source: Alexandria via LeMat-Bulk, functional PBE.

a b c (Å): 3.617 3.617 25.036
angles (deg): 90.00 90.00 120.00
Fractional positions:
Bi: 0.000 0.000 0.000
Bi: 0.333 0.667 0.667
Bi: 0.667 0.333 0.333
B: 0.000 0.000 0.500
B: 0.333 0.667 0.167
B: 0.667 0.333 0.833
Te: 0.000 0.000 0.224
Te: 0.000 0.000 0.776
Te: 0.333 0.667 0.442
Te: 0.333 0.667 0.891
Te: 0.667 0.333 0.109
Te: 0.667 0.333 0.558

## Properties
Space group: R-3m
ρ: 8344 kg/m³
V: 284 Å³ per cell



#b
BiBTe2 after structural relaxation. Source: Alexandria via LeMat-Bulk, functional PBE.

a b c (Å): 4.281 4.281 25.690
angles (deg): 90.00 90.00 120.00
Fractional positions:
Bi: 0.000 0.000 0.000
Bi: 0.333 0.667 0.667
Bi: 0.667 0.333 0.333
B: 0.000 0.000 0.500
B: 0.333 0.667 0.167
B: 0.667 0.333 0.833
Te: 0.000 0.000 0.419
Te: 0.000 0.000 0.581
Te: 0.333 0.667 0.086
Te: 0.333 0.667 0.247
Te: 0.667 0.333 0.753
Te: 0.667 0.333 0.914

## Properties
Space group: R-3m
ρ: 5803 kg/m³
V: 408 Å³ per cell



#c
BiBTe2 after structural relaxation. Source: Alexandria via LeMat-Bulk, functional PBE.

a b c (Å): 7.459 7.459 7.459
angles (deg): 90.00 90.00 90.00
Fractional positions:
Bi: 0.000 0.000 0.000
Bi: 0.000 0.500 0.500
Bi: 0.500 0.000 0.500
Bi: 0.500 0.500 0.000
B: 0.000 0.000 0.500
B: 0.000 0.500 0.000
B: 0.500 0.000 0.000
B: 0.500 0.500 0.500
Te: 0.250 0.250 0.250
Te: 0.250 0.250 0.750
Te: 0.250 0.750 0.250
Te: 0.250 0.750 0.750
Te: 0.750 0.250 0.250
Te: 0.750 0.250 0.750
Te: 0.750 0.750 0.250
Te: 0.750 0.750 0.750

## Properties
Space group: Fm-3m
ρ: 7604 kg/m³
V: 415 Å³ per cell



#d
BiBTe2 after structural relaxation. Source: Alexandria via LeMat-Bulk, functional PBE.

a b c (Å): 6.856 6.856 9.619
angles (deg): 90.00 90.00 90.00
Fractional positions:
Bi: 0.000 0.000 0.000
Bi: 0.000 0.500 0.250
Bi: 0.500 0.000 0.750
Bi: 0.500 0.500 0.500
B: 0.000 0.000 0.500
B: 0.000 0.500 0.750
B: 0.500 0.000 0.250
B: 0.500 0.500 0.000
Te: 0.154 0.250 0.625
Te: 0.250 0.654 0.875
Te: 0.250 0.846 0.375
Te: 0.346 0.250 0.125
Te: 0.654 0.750 0.125
Te: 0.750 0.154 0.375
Te: 0.750 0.346 0.875
Te: 0.846 0.750 0.625

## Properties
Space group: I-42d
ρ: 6977 kg/m³
V: 452 Å³ per cell



Which of them is the least stable? Correct choice: #c.



#a
Bi2BTe2 after structural relaxation. Source: Alexandria via LeMat-Bulk, functional PBE.

a b c (Å): 7.809 7.809 4.741
angles (deg): 90.00 90.00 90.00
Fractional positions:
Bi: 0.175 0.325 0.000
Bi: 0.325 0.825 0.000
Bi: 0.675 0.175 0.000
Bi: 0.825 0.675 0.000
B: 0.000 0.000 0.000
B: 0.500 0.500 0.000
Te: 0.155 0.655 0.500
Te: 0.345 0.155 0.500
Te: 0.655 0.845 0.500
Te: 0.845 0.345 0.500

## Properties
Space group: P4/mbm
ρ: 7858 kg/m³
V: 289 Å³ per cell



#b
Bi2BTe2 after structural relaxation. Source: Alexandria via LeMat-Bulk, functional PBE.

a b c (Å): 6.385 6.385 8.343
angles (deg): 90.00 90.00 90.00
Fractional positions:
Bi: 0.000 0.000 0.224
Bi: 0.000 0.000 0.776
Bi: 0.500 0.500 0.276
Bi: 0.500 0.500 0.724
B: 0.000 0.000 0.500
B: 0.500 0.500 0.000
Te: 0.000 0.500 0.250
Te: 0.000 0.500 0.750
Te: 0.500 0.000 0.250
Te: 0.500 0.000 0.750

## Properties
Space group: I4/mmm
ρ: 6678 kg/m³
V: 340 Å³ per cell



Which of them is the least stable? Correct choice: #a.